(1)
Material: Tb3SbS3
Method: DFT, PBE
State: optimized geometry

Unit cell a=7.9259 b=7.9259 c=8.5691 alpha=62.45 beta=62.45 gamma=60.00
Closest atoms and distances in Å follow each position.
Sites, in units of the cell vectors:
Tb 0.2817 0.5218 0.2772  4 S 2.70-2.80
Tb 0.9193 0.2817 0.2772  4 S 2.70-2.80
Tb 0.5218 0.9193 0.2772  4 S 2.70-2.80
Tb 0.4782 0.0807 0.7228  4 S 2.70-2.80
Tb 0.0807 0.7183 0.7228  4 S 2.70-2.80
Tb 0.7183 0.4782 0.7228  4 S 2.70-2.80
Sb 0.3335 0.3335 0.9996  6 Tb 3.13-3.25
Sb 0.6665 0.6665 0.0004  6 Tb 3.13-3.25
S 0.3858 0.8282 0.6549  4 Tb 2.70-2.80
S 0.8282 0.1311 0.6549  4 Tb 2.70-2.80
S 0.1311 0.3858 0.6549  4 Tb 2.70-2.80
S 0.8689 0.6142 0.3451  4 Tb 2.70-2.80
S 0.1718 0.8689 0.3451  4 Tb 2.70-2.80
S 0.6142 0.1718 0.3451  4 Tb 2.70-2.80

- volume (Å³ per cell) = 394.15
- DFT total energy (eV per atom) = -6.0410
- symmetry = No. 148
- crystal system = trigonal
- magnetization (μB per formula unit) = 0.00


(2)
Material: InReAg2
Method: DFT, PBE
State: optimized geometry

Unit cell a=5.2115 b=5.2115 c=5.2115 alpha=133.87 beta=133.87 gamma=67.29
Closest atoms and distances in Å follow each position.
Sites, in units of the cell vectors:
Re 0.7500 0.2500 0.5000  4 In 2.89, 8 Ag 2.98
Ag 0.0000 0.0000 0.0000  4 Ag 2.89, 4 In 2.98, 4 Re 2.98
Ag 0.5000 0.5000 0.0000  4 Ag 2.89, 4 Re 2.98, 4 In 2.98
In 0.2500 0.7500 0.5000  4 Re 2.89, 8 Ag 2.98

- volume (Å³ per cell) = 72.34
- DFT total energy (eV per atom) = -4.5053
- ΔH_f (0 K) (eV per atom) = 0.717
- symmetry = No. 139
- crystal system = tetragonal
- magnetization (μB per formula unit) = 1.68


(3)
Material: ZrMn2Tc
Method: DFT, PBE
State: optimized geometry

Unit cell a=4.3234 b=4.3234 c=4.3234 alpha=60.00 beta=60.00 gamma=60.00
Closest atoms and distances in Å follow each position.
Sites, in units of the cell vectors:
Mn 0.2500 0.2500 0.2500  4 Tc 2.65, 4 Zr 2.65
Mn 0.7500 0.7500 0.7500  4 Zr 2.65, 4 Tc 2.65
Tc 0.5000 0.5000 0.5000  8 Mn 2.65
Zr 0.0000 0.0000 0.0000  8 Mn 2.65

- volume (Å³ per cell) = 57.14
- energy relative to the lowest polymorph listed for this composition (meV per atom) = 61
- DFT total energy (eV per atom) = -9.2264
- ΔH_f (0 K) (eV per atom) = 0.087
- symmetry = No. 225
- crystal system = cubic
- magnetization (μB per formula unit) = 0.01


(4)
Material: Pr2OsCl
Method: DFT, PBE
State: optimized geometry

Unit cell a=3.4498 b=3.4498 c=8.2177 alpha=90.00 beta=90.00 gamma=90.00
Closest atoms and distances in Å follow each position.
Sites, in units of the cell vectors:
Pr 0.0000 0.0000 0.7826  4 Os 3.02, 4 Cl 3.37
Pr 0.0000 0.0000 0.2174  4 Os 3.02, 4 Cl 3.37
Os 0.5000 0.5000 0.0000  8 Pr 3.02
Cl 0.5000 0.5000 0.5000  8 Pr 3.37, 4 Cl 3.45

- volume (Å³ per cell) = 97.80
- energy relative to the lowest polymorph listed for this composition (meV per atom) = 0
- DFT total energy (eV per atom) = -6.3993
- symmetry = No. 123
- crystal system = tetragonal
- magnetization (μB per formula unit) = 0.00


(5)
Material: Ti2HOsPt
Method: DFT, PBE
State: optimized geometry

Unit cell a=4.1283 b=4.1283 c=3.7041 alpha=90.00 beta=90.00 gamma=90.00
Closest atoms and distances in Å follow each position.
Sites, in units of the cell vectors:
H 0.0000 0.0000 0.0000  2 Os 1.85, 4 Ti 2.06
Os 0.0000 0.0000 0.5000  2 H 1.85
Pt 0.5000 0.5000 0.5000  8 Ti 2.77, 4 Os 2.92
Ti 0.0000 0.5000 0.0000  2 H 2.06
Ti 0.5000 0.0000 0.0000  2 H 2.06

- volume (Å³ per cell) = 63.13
- DFT total energy (eV per atom) = -7.8562
- symmetry = No. 123
- crystal system = tetragonal
- magnetization (μB per formula unit) = 0.00


(6)
Material: Ho5TmBi4
Method: DFT, PBE
State: optimized geometry

Unit cell a=4.3713 b=7.6718 c=11.4580 alpha=120.01 beta=101.00 gamma=90.00
Closest atoms and distances in Å follow each position.
Sites, in units of the cell vectors:
Ho 0.8116 0.7097 0.6232  3 Bi 3.08-3.17
Ho 0.8043 0.2215 0.6087  4 Bi 3.17-3.30
Ho 0.1957 0.7785 0.3913  4 Bi 3.17-3.30
Ho 0.5000 0.5000 0.0000  6 Bi 3.14-3.20
Ho 0.1884 0.2903 0.3768  3 Bi 3.08-3.17
Tm 0.5000 0.0000 0.0000  6 Bi 3.14-3.26
Bi 0.3660 0.0566 0.7320  6 Ho 3.17-3.30, 1 Tm 3.26
Bi 0.9388 0.6591 0.8776  4 Ho 3.08-3.17, 2 Tm 3.14
Bi 0.6340 0.9434 0.2680  6 Ho 3.17-3.30, 1 Tm 3.26
Bi 0.0612 0.3409 0.1224  4 Ho 3.08-3.17, 2 Tm 3.14

- volume (Å³ per cell) = 324.58
- DFT total energy (eV per atom) = -4.8207
- ΔH_f (0 K) (eV per atom) = -0.532
- symmetry = No. 12
- crystal system = monoclinic
- magnetization (μB per formula unit) = 1.90


(7)
Material: La3Y4Ho8
Method: DFT, PBE
State: optimized geometry

Unit cell a=6.8035 b=9.2996 c=9.2996 alpha=87.35 beta=111.50 gamma=111.50
Closest atoms and distances in Å follow each position.
Sites, in units of the cell vectors:
La 0.5000 0.5000 0.0000  4 Ho 3.22-3.36, 2 Y 3.40
La 0.5000 0.0000 0.5000  4 Ho 3.22-3.36, 2 Y 3.40
La 0.5000 0.5000 0.5000  6 Ho 3.14-3.25
Y 0.5000 0.0000 0.0000  6 Ho 3.28-3.50, 2 Y 3.40
Y 0.0000 0.5000 0.0000  4 Ho 3.22-3.36, 2 La 3.40
Y 0.0000 0.0000 0.0000  2 Y 3.40, 4 Ho 3.57
Y 0.0000 0.0000 0.5000  4 Ho 3.22-3.36, 2 La 3.40
Ho 0.5281 0.2672 0.2672  3 La 3.22-3.23, 2 Ho 3.23-3.57, 2 Y 3.50-3.57
Ho 0.0000 0.6409 0.3591  7 Ho 3.62-3.65, 4 La 3.64-3.85, 2 Y 3.64
Ho 0.0020 0.2659 0.2659  4 Y 3.22-3.57, 2 Ho 3.23-3.57, 1 La 3.25
Ho 0.5000 0.7446 0.2554  3 La 3.14-3.36, 3 Y 3.28-3.36
Ho 0.5000 0.2554 0.7446  3 La 3.14-3.36, 3 Y 3.28-3.36
Ho 0.9980 0.7341 0.7341  4 Y 3.22-3.57, 2 Ho 3.23-3.57, 1 La 3.25
Ho 0.0000 0.3591 0.6409  7 Ho 3.62-3.65, 4 La 3.64-3.85, 2 Y 3.64
Ho 0.4719 0.7328 0.7328  3 La 3.22-3.23, 2 Ho 3.23-3.57, 2 Y 3.50-3.57

- volume (Å³ per cell) = 506.72
- DFT total energy (eV per atom) = -4.7647
- ΔH_f (0 K) (eV per atom) = 0.386
- symmetry = No. 12
- crystal system = monoclinic
- magnetization (μB per formula unit) = 0.01


(8)
Material: PaTl2InSe4
Method: DFT, PBE
State: optimized geometry

Unit cell a=4.2874 b=7.8670 c=7.8298 alpha=72.26 beta=90.00 gamma=90.00
Closest atoms and distances in Å follow each position.
Sites, in units of the cell vectors:
Pa 0.0000 0.5000 0.5000  6 Se 2.72-2.87
Tl 0.0000 0.0000 0.0000  6 Se 3.46-3.62
Tl 0.5000 0.0000 0.5000  6 Se 3.24
In 0.5000 0.5000 0.0000  6 Se 3.13-3.14
Se 0.0000 0.7063 0.7220  1 Pa 2.72
Se 0.0000 0.2937 0.2780  1 Pa 2.72
Se 0.5000 0.7029 0.2894  2 Pa 2.87, 1 In 3.14
Se 0.5000 0.2971 0.7106  2 Pa 2.87, 1 In 3.14

- volume (Å³ per cell) = 251.53
- DFT total energy (eV per atom) = -4.6761
- symmetry = No. 10
- crystal system = monoclinic
- magnetization (μB per formula unit) = 0.08


(9)
Material: KRb3NaHg
Method: DFT, PBE
State: optimized geometry

Unit cell a=5.9661 b=10.2594 c=13.3710 alpha=116.85 beta=90.00 gamma=90.00
Closest atoms and distances in Å follow each position.
Sites, in units of the cell vectors:
K 0.2500 0.0959 0.6126  2 Hg 3.65, 2 K 4.06
K 0.7500 0.9041 0.3874  2 Hg 3.65, 2 K 4.06
Rb 0.2500 0.5911 0.4158  1 Hg 3.89, 1 Na 4.29
Rb 0.7500 0.9018 0.0743  2 Hg 4.06, 2 Na 4.15, 1 K 4.18, 4 Rb 4.53
Rb 0.7500 0.4587 0.1157  3 Hg 3.94-4.12, 1 K 4.37
Rb 0.7500 0.4089 0.5842  1 Hg 3.89, 1 Na 4.29
Rb 0.2500 0.5413 0.8843  3 Hg 3.94-4.12, 1 K 4.37
Rb 0.2500 0.0982 0.9257  2 Hg 4.06, 2 Na 4.15, 1 K 4.18, 4 Rb 4.53
Na 0.7500 0.8723 0.6969  1 Hg 3.32
Na 0.2500 0.1277 0.3031  1 Hg 3.32
Hg 0.2500 0.7686 0.2132  1 Na 3.32, 2 K 3.65
Hg 0.7500 0.2314 0.7868  1 Na 3.32, 2 K 3.65

- volume (Å³ per cell) = 730.22
- DFT total energy (eV per atom) = -0.9960
- ΔH_f (0 K) (eV per atom) = -0.059
- symmetry = No. 11
- crystal system = monoclinic
- magnetization (μB per formula unit) = 0.00